Here is a relaxed LiVAg2 crystal from Alexandria. Energies are from PBE.

The structure belongs to space group I-42d (No. 122); the cell edges are 7.166, 7.166 and 5.521 Å and the angles 90.00°, 90.00° and 90.00°. The inequivalent atoms are Li at (0.000, 0.000, 0.000), V at (0.000, 0.000, 0.500) and Ag at (0.226, 0.750, 0.125).

The crystal system is tetragonal. Its formation energy is 481 meV/atom.

Here is a relaxed CaNbIO6 crystal from Alexandria. Energies are from PBE.

The structure belongs to space group P-31c (No. 163); the cell edges are 5.4665, 5.4665 and 10.0277 Å and the angles 90.00°, 90.00° and 120.00°. The inequivalent atoms are Ca at (0.0000, 0.0000, 0.0000), Nb at (0.3333, 0.6667, 0.2500), I at (0.3333, 0.6667, 0.7500) and O at (0.0091, 0.3683, 0.1400).

The calculation puts the uncorrected formation energy at -1.79 eV/atom. The crystal system is trigonal.

Here is a relaxed BaSr2W crystal from Alexandria. Energies are from PBE.

The structure belongs to space group Immm (No. 71); the cell edges are 3.992, 6.248 and 13.065 Å and the angles 90.00°, 90.00° and 90.00°. The inequivalent atoms are Ba at (0.000, 0.000, 0.000), Sr at (0.000, 0.500, 0.194) and W at (0.000, 0.000, 0.500).

The crystal system is orthorhombic. Its formation energy is 1015 meV/atom.

Here is a relaxed Hf2TaBiCl crystal from Alexandria. Energies are from PBE.

The structure belongs to space group P4/mmm (No. 123); the cell edges are 4.629, 4.629 and 5.469 Å and the angles 90.00°, 90.00° and 90.00°. The inequivalent atoms are Hf at (0.000, 0.500, 0.000), Ta at (0.000, 0.000, 0.500), Bi at (0.500, 0.500, 0.500) and Cl at (0.500, 0.500, 0.000).

The calculation puts the uncorrected formation energy at 0.75 eV/atom. The crystal system is tetragonal.